Cs8ZrMo6O24: optimized geometry, PBE with a Hubbard U.

Lattice parameters (Å, degrees): 8.4984 10.7225 11.3603 118.16 99.11 70.40
Fractional coordinates of all 39 atoms:
O: 0.5032 0.6757 0.7160
O: 0.4968 0.3243 0.2840
O: 0.8143 0.9474 0.8520
O: 0.2000 0.9407 0.3476
O: 0.8189 0.5411 0.1437
O: 0.9689 0.2071 0.0000
O: 0.2000 0.5932 0.6524
O: 0.1857 0.9045 0.8520
O: 0.1857 0.0526 0.1480
O: 0.8143 0.0955 0.1480
O: 0.6069 0.3527 0.0000
O: 0.1811 0.6026 0.1437
O: 0.1811 0.4589 0.8563
O: 0.7617 0.7734 0.5578
O: 0.8000 0.4068 0.3476
O: 0.7617 0.2156 0.4422
O: 0.0311 0.7929 0.0000
O: 0.4968 0.0403 0.7160
O: 0.8000 0.0593 0.6524
O: 0.2383 0.2266 0.4422
O: 0.8189 0.3974 0.8563
O: 0.2383 0.7844 0.5578
O: 0.3931 0.6473 0.0000
O: 0.5032 0.9597 0.2840
Cs: 0.1157 0.1297 0.6514
Cs: 0.1157 0.4784 0.3486
Cs: 0.8843 0.8703 0.3486
Cs: 0.3581 0.2176 0.0000
Cs: 0.8843 0.5216 0.6514
Cs: 0.5000 0.6640 0.3280
Cs: 0.6419 0.7824 0.0000
Cs: 0.5000 0.3360 0.6720
Mo: 0.1965 0.6250 0.0000
Mo: 0.2831 0.7404 0.6947
Mo: 0.2831 0.0458 0.3053
Mo: 0.7169 0.9542 0.6947
Mo: 0.8035 0.3750 0.0000
Mo: 0.7169 0.2596 0.3053
Zr: 0.0000 0.0000 0.0000

Calculated values
spin magnetization	0.35	Bohr magnetons per cell
raw total energy	-253.7	eV/cell
symmetry	C2/m, No. 12